The following is a PBE calculation of an optimized crystal structure of CaPaH2, from Alexandria.

The structure belongs to space group R-3m (No. 166, hexagonal axes); the cell edges are 3.4194, 3.4194 and 18.1898 Å and the angles 90.00°, 90.00° and 120.00°. The asymmetric unit holds Ca at (0.0000, 0.0000, 0.0000), Pa at (0.0000, 0.0000, 0.5000) and H at (0.0000, 0.0000, 0.2409).

The density of states at the Fermi level comes out at 14.66 states/eV/cell. Its final energy is -18.7 eV per formula unit.